Material: DyMgAgAu
Method: DFT, PBE-GGA
State: optimized geometry

Structure (extended XYZ):
```
4
Lattice="0.000 3.480 3.480 3.480 0.000 3.480 3.480 3.480 0.000" Properties=species:S:1:pos:R:3 pbc="T T T"
Dy 0.000 0.000 0.000
Mg 3.480 3.480 3.480
Ag 5.219 5.219 5.219
Au 1.740 1.740 1.740
```

Values from the calculation:
The raw total energy is -3.62 eV/atom. The calculation puts the formation energy at -0.54 eV/atom.


Material: DyNiAgAu
Method: DFT, PBE-GGA
State: optimized geometry

Structure (extended XYZ):
```
4
Lattice="0.000 3.349 3.349 3.349 0.000 3.349 3.349 3.349 0.000" Properties=species:S:1:pos:R:3 pbc="T T T"
Dy 0.000 0.000 0.000
Ni 1.674 1.674 1.674
Ag 3.349 3.349 3.349
Au 5.023 5.023 5.023
```

Values from the calculation:
The raw total energy is -4.46 eV/atom. The calculation puts the formation energy at -0.33 eV/atom.


Material: Dy2Ag2AuO6
Method: DFT, PBE-GGA
State: optimized geometry

Structure (extended XYZ):
```
11
Lattice="2.929 -5.251 0.000 2.929 5.251 0.000 -0.920 0.000 6.283" Properties=species:S:1:pos:R:3 pbc="T T T"
Dy 2.929 3.559 0.000
Dy 2.929 -3.559 0.000
Ag 2.469 1.670 3.141
Ag 2.469 -1.670 3.141
Au 2.929 0.000 0.000
O 0.208 0.000 5.316
O 2.003 1.738 1.111
O 2.934 1.738 5.172
O 2.003 -1.738 1.111
O 2.934 -1.738 5.172
O 4.730 0.000 0.967
```

Values from the calculation:
The raw total energy is -5.88 eV/atom. As for the uncorrected formation energy: -1519 meV/atom.


Material: DyAgPbAu
Method: DFT, PBE-GGA
State: optimized geometry

Structure (extended XYZ):
```
4
Lattice="0.000 3.571 3.571 3.571 0.000 3.571 3.571 3.571 0.000" Properties=species:S:1:pos:R:3 pbc="T T T"
Dy 0.000 0.000 0.000
Ag 5.356 5.356 5.356
Pb 3.571 3.571 3.571
Au 1.785 1.785 1.785
```

Values from the calculation:
The raw total energy is -4.02 eV/atom. The calculation puts the formation energy at -0.41 eV/atom.


Material: DyAgPdAu
Method: DFT, PBE-GGA
State: optimized geometry

Structure (extended XYZ):
```
4
Lattice="-2.122 2.122 4.263 2.122 -2.122 4.263 2.122 2.122 -4.263" Properties=species:S:1:pos:R:3 pbc="T T T"
Dy 0.000 0.000 0.000
Ag 0.000 0.000 4.263
Pd 0.000 2.122 2.131
Au 2.122 0.000 2.131
```

Values from the calculation:
The raw total energy is -4.59 eV/atom. The calculation puts the formation energy at -0.61 eV/atom.


Material: DyAgPdAu
Method: DFT, PBE-GGA
State: optimized geometry

Structure (extended XYZ):
```
4
Lattice="0.000 3.406 3.406 3.406 0.000 3.406 3.406 3.406 0.000" Properties=species:S:1:pos:R:3 pbc="T T T"
Dy 0.000 0.000 0.000
Ag 3.406 3.406 3.406
Pd 1.703 1.703 1.703
Au 5.108 5.108 5.108
```

Values from the calculation:
The raw total energy is -4.59 eV/atom. The calculation puts the formation energy at -0.61 eV/atom.